No. 1
Entry from Alexandria: a relaxed structure of Sc2GaMo (PBE).

a b c (Å): 3.827 4.383 4.383
angles (deg): 90.00 90.00 90.00
Fractional positions:
Sc  0.000  0.500  0.000
Sc  0.000  0.000  0.500
Ga  0.500  0.000  0.000
Mo  0.500  0.500  0.500

Computed properties:
Magnetic moment, μB per formula unit: 0.000
N(E_F), states/eV/atom: 1.036
DFT formation energy, kJ/mol of formula units: -74
Space group: P4/mmm


No. 2
Entry from Alexandria: a relaxed structure of TlPdRu2 (PBE).

a b c (Å): 4.514 4.514 4.514
angles (deg): 60.00 60.00 60.00
Fractional positions:
Pd  0.000  0.000  0.000
Tl  0.500  0.500  0.500
Ru  0.750  0.750  0.750
Ru  0.250  0.250  0.250

Computed properties:
Magnetic moment, μB per formula unit: 0.000
N(E_F), states/eV/atom: 1.504
DFT formation energy, kJ/mol of formula units: 210
Space group: Fm-3m